# 1
KTeAs2: relaxed, PBE.

Geometry as POSCAR:
```
KTeAs2
1.0
5.603 -0.024 0.000
1.502 5.398 0.000
-3.552 -2.687 3.399
As K Te
2 1 1
Cartesian
0.000 0.000 0.000 As
0.751 2.699 1.700 As
3.552 2.687 0.000 K
2.802 -0.012 1.700 Te
```

Values from the calculation:
As for the magnetization: 0.00 μB per formula unit. The raw formation energy comes out at 4.3 kcal/mol of atoms. As for the space-group type: I-4m2 (119).



# 2
SmHoBeCd: relaxed, PBE.

Geometry as POSCAR:
```
SmHoBeCd
1.0
-2.679 -4.167 -1.356
2.446 -4.187 -1.693
0.175 -4.226 2.914
Be Ho Sm Cd
1 1 1 1
Cartesian
-0.014 -3.145 -0.034 Be
0.000 0.000 0.000 Ho
-0.029 -6.290 -0.068 Sm
-0.043 -9.435 -0.101 Cd
```

Values from the calculation:
The value obtained for the uncorrected energy is -14.02 eV/cell. As for the magnetization: 0.00 μB per formula unit. As for the space-group type: F-43m (216).



# 3
Sb2PbS: relaxed, PBE.

Geometry as POSCAR:
```
Sb2PbS
1.0
3.135 -3.136 2.787
1.059 1.131 5.003
-1.994 -2.961 3.833
Pb Sb S
1 2 1
Cartesian
1.100 -2.483 5.811 Pb
0.550 -1.242 2.906 Sb
1.651 -3.725 8.717 Sb
0.000 0.000 0.000 S
```

Values from the calculation:
As for the magnetization: 0.00 μB per formula unit. The raw formation energy comes out at 6.6 kcal/mol of atoms. As for the space-group type: Fm-3m (225).